Entry 1:
Entry from Alexandria via LeMat-Bulk: an optimized crystal structure of Rb4Pa3Te8Au (PBE).

Calculated values
The density of states at the Fermi level comes out at 19.02 states/eV per cell. Its crystal system is monoclinic. For the density, the calculation gives 6.19 g/cm³. As for the uncorrected formation energy: -0.813 eV per atom. As for the total energy: -0.3389 Ry per atom.

Cell lengths 9.029, 9.029, 10.061 Å; angles 116.79, 116.79, 59.62 degrees
Fractional coordinates of all 16 atoms:
Rb 0.000 0.000 0.000
Rb 0.000 0.500 0.000
Rb 0.500 0.000 0.000
Rb 0.500 0.500 0.000
Pa 0.000 0.000 0.500
Pa 0.000 0.500 0.500
Pa 0.500 0.000 0.500
Te 0.233 0.731 0.696
Te 0.235 0.235 0.705
Te 0.265 0.265 0.301
Te 0.269 0.767 0.304
Te 0.731 0.233 0.696
Te 0.735 0.735 0.699
Te 0.765 0.765 0.295
Te 0.767 0.269 0.304
Au 0.500 0.500 0.500

=====

Entry 2:
Entry from Alexandria via LeMat-Bulk: an optimized crystal structure of RbPaTe4Au2 (PBE).

Calculated values
Its crystal system is orthorhombic. For the density, the calculation gives 5.90 g/cm³. As for the uncorrected formation energy: -0.502 eV per atom. As for the total energy: -0.3087 Ry per atom.

Cell lengths 5.184, 9.702, 13.668 Å; angles 90.00, 90.00, 90.00 degrees
Fractional coordinates of all 16 atoms:
Rb 0.000 0.000 0.000
Rb 0.500 0.500 0.500
Pa 0.000 0.500 0.000
Pa 0.500 0.000 0.500
Te 0.188 0.307 0.847
Te 0.188 0.693 0.153
Te 0.312 0.193 0.347
Te 0.312 0.807 0.653
Te 0.688 0.193 0.653
Te 0.688 0.807 0.347
Te 0.812 0.307 0.153
Te 0.812 0.693 0.847
Au 0.000 0.177 0.500
Au 0.000 0.823 0.500
Au 0.500 0.323 0.000
Au 0.500 0.677 0.000

=====

Entry 3:
Entry from Alexandria via LeMat-Bulk: an optimized crystal structure of RbPaTe4Au (PBE).

Calculated values
The density of states at the Fermi level comes out at 4.47 states/eV per cell. Its crystal system is monoclinic. For the density, the calculation gives 7.14 g/cm³. As for the uncorrected formation energy: -0.694 eV per atom. As for the total energy: -0.3273 Ry per atom.

Cell lengths 7.727, 6.311, 10.430 Å; angles 90.00, 110.57, 90.00 degrees
Fractional coordinates of all 14 atoms:
Rb 0.214 0.250 0.054
Rb 0.786 0.750 0.946
Pa 0.277 0.250 0.558
Pa 0.723 0.750 0.442
Te 0.032 0.508 0.694
Te 0.032 0.992 0.694
Te 0.434 0.750 0.593
Te 0.466 0.750 0.147
Te 0.534 0.250 0.853
Te 0.566 0.250 0.407
Te 0.968 0.008 0.306
Te 0.968 0.492 0.306
Au 0.273 0.750 0.314
Au 0.727 0.250 0.686